[1]
# PBE LaCo3P2, optimized geometry
# Energy of formation from the pure elements in meV/atom: -821
# Electronic total energy in eV/cell: -126.0
# Spin magnetization in Bohr magnetons per cell: 0.01
data_LaCo3P2
_cell_length_a 7.9190
_cell_length_b 7.9190
_cell_length_c 9.2780
_cell_angle_alpha 104.26
_cell_angle_beta 104.26
_cell_angle_gamma 27.19
_symmetry_space_group_name_H-M 'P 1'
_symmetry_Int_Tables_number 1
loop_
_symmetry_equiv_pos_as_xyz
'x,y,z'
loop_
_atom_site_label
_atom_site_type_symbol
_atom_site_fract_x
_atom_site_fract_y
_atom_site_fract_z
La1 La 0.0000 0.0000 0.0000
La2 La 0.1527 0.1527 0.7083
La3 La 0.8473 0.8473 0.2917
Co1 Co 0.0561 0.0561 0.3480
Co2 Co 0.2198 0.2198 0.3971
Co3 Co 0.3131 0.3131 0.0179
Co4 Co 0.3675 0.3675 0.7811
Co5 Co 0.5000 0.5000 0.5000
Co6 Co 0.6325 0.6325 0.2189
Co7 Co 0.6869 0.6869 0.9821
Co8 Co 0.7802 0.7802 0.6029
Co9 Co 0.9439 0.9439 0.6520
P1 P 0.1979 0.1979 0.1317
P2 P 0.3561 0.3561 0.5432
P3 P 0.4854 0.4854 0.2444
P4 P 0.5146 0.5146 0.7556
P5 P 0.6439 0.6439 0.4568
P6 P 0.8021 0.8021 0.8683

[2]
# PBE La3Nd2Dy4, optimized geometry
# Energy of formation from the pure elements in meV/atom: 94
# Electronic total energy in eV/cell: -83.8
# ΔE to the lowest computed polymorph in eV/atom: 0.0069
# Spin magnetization in Bohr magnetons per cell: 0.00
data_La3Nd2Dy4
_cell_length_a 10.2377
_cell_length_b 10.2377
_cell_length_c 6.2250
_cell_angle_alpha 96.29
_cell_angle_beta 96.29
_cell_angle_gamma 71.30
_symmetry_space_group_name_H-M 'P 1'
_symmetry_Int_Tables_number 1
loop_
_symmetry_equiv_pos_as_xyz
'x,y,z'
loop_
_atom_site_label
_atom_site_type_symbol
_atom_site_fract_x
_atom_site_fract_y
_atom_site_fract_z
La1 La 0.1250 0.8750 0.7500
La2 La 0.2000 0.4747 0.9087
La3 La 0.4747 0.2000 0.4087
La4 La 0.5253 0.8000 0.5913
La5 La 0.8000 0.5253 0.0913
La6 La 0.8750 0.1250 0.2500
Nd1 Nd 0.0167 0.7553 0.2058
Nd2 Nd 0.2447 0.9833 0.2942
Nd3 Nd 0.7553 0.0167 0.7058
Nd4 Nd 0.9833 0.2447 0.7942
Dy1 Dy 0.1085 0.3478 0.3611
Dy2 Dy 0.3257 0.5623 0.4622
Dy3 Dy 0.3478 0.1085 0.8611
Dy4 Dy 0.4377 0.6743 0.0378
Dy5 Dy 0.5623 0.3257 0.9622
Dy6 Dy 0.6522 0.8915 0.1389
Dy7 Dy 0.6743 0.4377 0.5378
Dy8 Dy 0.8915 0.6522 0.6389

[3]
# PBE Sr2In2Pb, optimized geometry
# Energy of formation from the pure elements in meV/atom: -392
# Electronic total energy in eV/cell: -29.0
# ΔE to the lowest computed polymorph in eV/atom: 0.0180
# Spin magnetization in Bohr magnetons per cell: 0.00
data_Sr2In2Pb
_cell_length_a 8.1331
_cell_length_b 8.1331
_cell_length_c 5.1585
_cell_angle_alpha 90.00
_cell_angle_beta 90.00
_cell_angle_gamma 90.00
_symmetry_space_group_name_H-M 'P 1'
_symmetry_Int_Tables_number 1
loop_
_symmetry_equiv_pos_as_xyz
'x,y,z'
loop_
_atom_site_label
_atom_site_type_symbol
_atom_site_fract_x
_atom_site_fract_y
_atom_site_fract_z
Sr1 Sr 0.1750 0.3250 0.0000
Sr2 Sr 0.3250 0.8250 0.0000
Sr3 Sr 0.6750 0.1750 0.0000
Sr4 Sr 0.8250 0.6750 0.0000
In1 In 0.1277 0.6277 0.5000
In2 In 0.3723 0.1277 0.5000
In3 In 0.6277 0.8723 0.5000
In4 In 0.8723 0.3723 0.5000
Pb1 Pb 0.0000 0.0000 0.5000
Pb2 Pb 0.5000 0.5000 0.5000

[4]
# PBE Mg2BeCr, optimized geometry
# Energy of formation from the pure elements in meV/atom: 536
# Electronic total energy in eV/cell: -14.4
# Spin magnetization in Bohr magnetons per cell: 0.00
data_Mg2BeCr
_cell_length_a 2.6762
_cell_length_b 2.6762
_cell_length_c 8.2316
_cell_angle_alpha 90.00
_cell_angle_beta 90.00
_cell_angle_gamma 90.00
_symmetry_space_group_name_H-M 'P 1'
_symmetry_Int_Tables_number 1
loop_
_symmetry_equiv_pos_as_xyz
'x,y,z'
loop_
_atom_site_label
_atom_site_type_symbol
_atom_site_fract_x
_atom_site_fract_y
_atom_site_fract_z
Mg1 Mg 0.0000 0.0000 0.2392
Mg2 Mg 0.0000 0.0000 0.7608
Be1 Be 0.5000 0.5000 0.0000
Cr1 Cr 0.5000 0.5000 0.5000

[5]
# PBE BaCuCl2, optimized geometry
# Formation energy without anion corrections in eV/f.u.: -4.41
# Electronic total energy in eV/cell: -28.2
# ΔE to the lowest computed polymorph in eV/atom: 0.0887
# Spin magnetization in Bohr magnetons per cell: 0.00
data_BaCuCl2
_cell_length_a 6.9935
_cell_length_b 7.0020
_cell_length_c 4.1016
_cell_angle_alpha 90.00
_cell_angle_beta 90.28
_cell_angle_gamma 90.00
_symmetry_space_group_name_H-M 'P 1'
_symmetry_Int_Tables_number 1
loop_
_symmetry_equiv_pos_as_xyz
'x,y,z'
loop_
_atom_site_label
_atom_site_type_symbol
_atom_site_fract_x
_atom_site_fract_y
_atom_site_fract_z
Ba1 Ba 0.0000 0.0000 0.0000
Ba2 Ba 0.5000 0.5000 0.0000
Cu1 Cu 0.0000 0.5000 0.0000
Cu2 Cu 0.5000 0.0000 0.0000
Cl1 Cl 0.2500 0.2500 0.5000
Cl2 Cl 0.2500 0.7500 0.5000
Cl3 Cl 0.7500 0.2500 0.5000
Cl4 Cl 0.7500 0.7500 0.5000

Question: What is the formula in the first record?
Answer: LaCo3P2

Question: Which value of spin magnetization does entry 5 give?
Answer: 0.00 Bohr magnetons per cell